1.
{"formula": "K3SmU3Se8", "functional": "PBE", "state": "relaxed", "lattice_angstrom": [[4.205, 2.428, 7.811], [-4.205, 2.428, 7.811], [0.000, -4.855, 7.811]], "species": ["K", "K", "K", "Sm", "U", "U", "U", "Se", "Se", "Se", "Se", "Se", "Se", "Se", "Se"], "frac_coords": [[0.000, 0.500, 0.500], [0.500, 0.000, 0.500], [0.500, 0.500, 0.000], [0.500, 0.500, 0.500], [0.000, 0.000, 0.500], [0.000, 0.500, 0.000], [0.500, 0.000, 0.000], [0.229, 0.738, 0.738], [0.236, 0.236, 0.236], [0.262, 0.262, 0.771], [0.262, 0.771, 0.262], [0.738, 0.229, 0.738], [0.738, 0.738, 0.229], [0.764, 0.764, 0.764], [0.771, 0.262, 0.262]], "crystal_system": "trigonal", "e_form_raw_ev_per_atom": -1.37, "magmom_total_mub_per_cell": 8.0}


2.
{"formula": "Pr4Te3O4", "functional": "PBE", "state": "relaxed", "lattice_angstrom": [[-2.417, 3.700, 6.682], [2.417, -3.700, 6.682], [2.417, 3.700, -6.682]], "species": ["Pr", "Pr", "Pr", "Pr", "Te", "Te", "Te", "O", "O", "O", "O"], "frac_coords": [[0.234, 0.234, 0.000], [0.256, 0.500, 0.756], [0.744, 0.500, 0.244], [0.766, 0.766, 0.000], [0.000, 0.000, 0.000], [0.395, 0.895, 0.500], [0.605, 0.105, 0.500], [0.037, 0.323, 0.714], [0.391, 0.677, 0.714], [0.609, 0.323, 0.286], [0.963, 0.677, 0.286]], "crystal_system": "orthorhombic", "e_form_raw_ev_per_atom": -1.92, "magmom_total_mub_per_cell": 0.0}


3.
{"formula": "BaFe3Ge", "functional": "PBE", "state": "relaxed", "lattice_angstrom": [[5.000, 0.000, 0.000], [0.000, 5.000, 0.000], [0.000, 0.000, 5.000]], "species": ["Ba", "Fe", "Fe", "Fe", "Ge"], "frac_coords": [[0.000, 0.000, 0.000], [0.000, 0.000, 0.500], [0.000, 0.500, 0.000], [0.500, 0.000, 0.000], [0.500, 0.500, 0.500]], "crystal_system": "cubic", "relative_energy_mev_per_atom": 1679, "magmom_total_mub_per_cell": 7.8}


Question: Number 3 is which compound?
Answer: BaFe3Ge